Record 1
Computed, not measured: SrMnSi after structural relaxation at the PBE level of DFT.

Properties
Total moment: 4.85 Bohr magnetons per cell
E: -5.198 eV per atom
Space group: No. 216

Cell lengths 4.8505, 4.8505, 4.8505 Å; angles 60.00, 60.00, 60.00 degrees
Last column: nearest neighbours and their distance in Å.
Element x y z (fractional)
Mn 0.5000 0.5000 0.5000  4 Si 2.97
Si 0.7500 0.7500 0.7500  4 Mn 2.97, 4 Sr 2.97
Sr 0.0000 0.0000 0.0000  4 Si 2.97

---

Record 2
Computed, not measured: SrMnSi2 after structural relaxation at the PBE level of DFT.

Properties
Total moment: 0.00 Bohr magnetons per cell
E: -5.569 eV per atom
Space group: No. 8

Cell lengths 4.0122, 4.0122, 6.2142 Å; angles 71.37, 71.37, 59.97 degrees
Last column: nearest neighbours and their distance in Å.
Element x y z (fractional)
Mn 0.6755 0.6755 0.9752  6 Si 2.35-2.42
Si 0.0306 0.0306 0.9087  3 Mn 2.35, 3 Si 2.55
Si 0.3029 0.3029 0.0934  3 Mn 2.41-2.42, 3 Si 2.55
Sr 0.4909 0.4909 0.5227  4 Mn 3.16-3.50, 7 Si 3.21-3.40

---

Record 3
Computed, not measured: SrMnSi2 after structural relaxation at the PBE level of DFT.

Properties
Total moment: 0.00 Bohr magnetons per cell
E: -5.680 eV per atom
Space group: No. 166

Cell lengths 3.9777, 3.9777, 6.0998 Å; angles 71.00, 71.00, 59.98 degrees
Last column: nearest neighbours and their distance in Å.
Element x y z (fractional)
Mn 0.7500 0.7500 0.7500  6 Si 2.37
Si 0.0491 0.0491 0.8527  3 Mn 2.37, 3 Si 2.57
Si 0.4509 0.4509 0.6473  3 Mn 2.37, 3 Si 2.57
Sr 0.2500 0.2500 0.2500  8 Si 3.21-3.41

---

Record 4
Computed, not measured: SrMnSi2 after structural relaxation at the PBE level of DFT.

Properties
Total moment: 3.29 Bohr magnetons per cell
E: -4.920 eV per atom
Space group: No. 216

Cell lengths 4.8156, 4.8156, 4.8156 Å; angles 60.00, 60.00, 60.00 degrees
Last column: nearest neighbours and their distance in Å.
Element x y z (fractional)
Mn 0.5000 0.5000 0.5000  4 Si 2.95, 4 Sr 2.95
Si 0.0000 0.0000 0.0000  4 Sr 2.95, 4 Si 2.95
Si 0.7500 0.7500 0.7500  4 Mn 2.95, 4 Si 2.95
Sr 0.2500 0.2500 0.2500  4 Mn 2.95, 4 Si 2.95

---

Record 5
Computed, not measured: SrMnSi2 after structural relaxation at the PBE level of DFT.

Properties
Total moment: 3.76 Bohr magnetons per cell
E: -5.399 eV per atom
Space group: No. 71

Cell lengths 5.1731, 5.1731, 5.1731 Å; angles 130.29, 105.77, 94.68 degrees
Last column: nearest neighbours and their distance in Å.
Element x y z (fractional)
Mn 0.2500 0.7500 0.5000  4 Si 2.47
Si 0.0821 0.0821 0.0000  1 Si 2.35, 2 Mn 2.47
Si 0.4179 0.4179 0.0000  1 Si 2.35, 2 Mn 2.47
Sr 0.7500 0.2500 0.5000  8 Si 3.19-3.34, 2 Mn 3.51

---

Record 6
Computed, not measured: SrMnSi2 after structural relaxation at the PBE level of DFT.

Properties
Total moment: 3.62 Bohr magnetons per cell
E: -5.035 eV per atom
Space group: No. 119

Cell lengths 5.4763, 5.4763, 5.4763 Å; angles 134.64, 134.64, 66.09 degrees
Last column: nearest neighbours and their distance in Å.
Element x y z (fractional)
Mn 0.7500 0.2500 0.5000  8 Si 2.99-3.12, 4 Sr 3.12
Si 0.0000 0.0000 0.0000  4 Sr 2.99, 4 Mn 3.12, 4 Si 3.12
Si 0.2500 0.7500 0.5000  4 Mn 2.99, 4 Sr 3.12, 4 Si 3.12
Sr 0.5000 0.5000 0.0000  8 Si 2.99-3.12, 4 Mn 3.12

---

Record 7
Computed, not measured: Sr2MnSi after structural relaxation at the PBE level of DFT.

Properties
Total moment: 2.72 Bohr magnetons per cell
E: -4.370 eV per atom
Space group: No. 99

Cell lengths 3.5055, 3.5055, 9.0768 Å; angles 90.00, 90.00, 90.00 degrees
Last column: nearest neighbours and their distance in Å.
Element x y z (fractional)
Mn 0.0000 0.0000 0.5923  4 Si 2.56
Si 0.5000 0.5000 0.6642  4 Mn 2.56
Sr 0.0000 0.0000 0.9235  1 Mn 3.01
Sr 0.5000 0.5000 0.3200  1 Si 3.12

---

Record 8
Computed, not measured: Sr2MnSi after structural relaxation at the PBE level of DFT.

Properties
Total moment: 3.06 Bohr magnetons per cell
E: -4.102 eV per atom
Space group: No. 216

Cell lengths 5.1803, 5.1803, 5.1803 Å; angles 60.00, 60.00, 60.00 degrees
Last column: nearest neighbours and their distance in Å.
Element x y z (fractional)
Mn 0.5000 0.5000 0.5000  4 Sr 3.17, 4 Si 3.17
Si 0.7500 0.7500 0.7500  4 Mn 3.17, 4 Sr 3.17
Sr 0.0000 0.0000 0.0000  4 Si 3.17, 4 Sr 3.17
Sr 0.2500 0.2500 0.2500  4 Sr 3.17, 4 Mn 3.17

---

Record 9
Computed, not measured: SrMnSi2 after structural relaxation at the PBE level of DFT.

Properties
Total moment: 4.20 Bohr magnetons per cell
E: -5.105 eV per atom
Space group: No. 123

Cell lengths 4.4031, 4.4031, 4.2293 Å; angles 90.00, 90.00, 90.00 degrees
Last column: nearest neighbours and their distance in Å.
Element x y z (fractional)
Mn 0.0000 0.5000 0.5000  8 Si 3.05, 4 Sr 3.11
Si 0.0000 0.0000 0.0000  4 Sr 3.05, 4 Mn 3.05, 4 Si 3.11
Si 0.5000 0.5000 0.0000  4 Mn 3.05, 4 Sr 3.05, 4 Si 3.11
Sr 0.5000 0.0000 0.5000  8 Si 3.05, 4 Mn 3.11

---

Record 10
Computed, not measured: Sr2MnSi after structural relaxation at the PBE level of DFT.

Properties
Total moment: 4.43 Bohr magnetons per cell
E: -4.042 eV per atom
Space group: No. 12

Cell lengths 4.9148, 4.9148, 7.8581 Å; angles 80.40, 80.40, 45.20 degrees
Last column: nearest neighbours and their distance in Å.
Element x y z (fractional)
Mn 0.7500 0.7500 0.7500  6 Sr 3.35-3.48
Si 0.2500 0.2500 0.2500  6 Sr 3.15-3.18
Sr 0.9886 0.9886 0.0288  3 Si 3.15-3.18, 3 Mn 3.35-3.48
Sr 0.5114 0.5114 0.4712  3 Si 3.15-3.18, 3 Mn 3.35-3.48

---

Record 11
Computed, not measured: SrMnSi2 after structural relaxation at the PBE level of DFT.

Properties
Total moment: 0.00 Bohr magnetons per cell
E: -5.534 eV per atom
Space group: No. 123

Cell lengths 3.0572, 3.0572, 7.1951 Å; angles 90.00, 90.00, 90.00 degrees
Last column: nearest neighbours and their distance in Å.
Element x y z (fractional)
Mn 0.5000 0.5000 0.7500  8 Si 2.50
Si 0.0000 0.0000 0.9238  4 Mn 2.50, 1 Si 2.50
Si 0.0000 0.0000 0.5762  4 Mn 2.50, 1 Si 2.50
Sr 0.5000 0.5000 0.2500  4 Sr 3.06, 8 Si 3.19

---

Record 12
Computed, not measured: SrMnSi2 after structural relaxation at the PBE level of DFT.

Properties
Total moment: 2.69 Bohr magnetons per cell
E: -5.503 eV per atom
Space group: No. 6

Cell lengths 3.6708, 3.6050, 6.5669 Å; angles 73.97, 90.00, 90.00 degrees
Last column: nearest neighbours and their distance in Å.
Element x y z (fractional)
Mn 0.5000 0.7280 0.9203  6 Si 2.45-2.58
Si 0.0000 0.2169 0.9422  2 Si 2.39, 4 Mn 2.58
Si 0.5000 0.0952 0.1842  2 Si 2.39, 2 Mn 2.45
Sr 0.0000 0.4599 0.4533  5 Si 3.08-3.09

---

Record 13
Computed, not measured: Sr2MnSi after structural relaxation at the PBE level of DFT.

Properties
Total moment: 4.46 Bohr magnetons per cell
E: -4.256 eV per atom
Space group: No. 123

Cell lengths 5.0705, 5.0711, 4.3810 Å; angles 90.00, 90.00, 90.00 degrees
Last column: nearest neighbours and their distance in Å.
Element x y z (fractional)
Mn 0.5000 0.0000 0.5000  8 Sr 3.35, 4 Si 3.59
Si 0.0000 0.5000 0.5000  8 Sr 3.35, 4 Mn 3.59
Sr 0.0000 0.0000 0.0000  4 Mn 3.35, 4 Si 3.35, 4 Sr 3.59
Sr 0.5000 0.5000 0.0000  4 Si 3.35, 4 Mn 3.35, 4 Sr 3.59

---

Record 14
Computed, not measured: TaMnSi after structural relaxation at the PBE level of DFT.

Properties
Total moment: 0.00 Bohr magnetons per cell
E: -9.070 eV per atom
Space group: No. 107

Cell lengths 5.0618, 5.0618, 5.0618 Å; angles 145.80, 145.80, 49.14 degrees
Last column: nearest neighbours and their distance in Å.
Element x y z (fractional)
Mn 0.0148 0.0148 0.0000  4 Si 2.42, 4 Ta 2.64
Si 0.6441 0.6441 0.0000  4 Mn 2.42
Ta 0.3411 0.3411 0.0000  4 Mn 2.64, 5 Si 2.78-2.79

---

Record 15
Computed, not measured: TaMnSi after structural relaxation at the PBE level of DFT.

Properties
Total moment: 1.84 Bohr magnetons per cell
E: -9.363 eV per atom
Space group: No. 189

Cell lengths 6.4007, 6.4007, 3.4794 Å; angles 90.00, 90.00, 120.00 degrees
Last column: nearest neighbours and their distance in Å.
Element x y z (fractional)
Ta 0.4114 0.0000 0.5000  5 Si 2.60-2.63, 6 Mn 2.80-2.88
Ta 0.0000 0.4114 0.5000  5 Si 2.60-2.63, 6 Mn 2.80-2.88
Ta 0.5886 0.5886 0.5000  5 Si 2.60-2.63, 6 Mn 2.80-2.88
Mn 0.7537 0.0000 0.0000  4 Si 2.35-2.46
Mn 0.0000 0.7537 0.0000  4 Si 2.35-2.46
Mn 0.2463 0.2463 0.0000  4 Si 2.35-2.46
Si 0.3333 0.6667 0.0000  3 Mn 2.46, 6 Ta 2.60
Si 0.6667 0.3333 0.0000  3 Mn 2.46, 6 Ta 2.60
Si 0.0000 0.0000 0.5000  6 Mn 2.35

---

Record 16
Computed, not measured: TaMn2Si after structural relaxation at the PBE level of DFT.

Properties
Total moment: 0.07 Bohr magnetons per cell
E: -9.055 eV per atom
Space group: No. 6

Cell lengths 4.1356, 2.7719, 4.7044 Å; angles 77.60, 90.00, 90.00 degrees
Last column: nearest neighbours and their distance in Å.
Element x y z (fractional)
Mn 0.0000 0.0113 0.0374  3 Si 2.48-2.54, 4 Mn 2.50-2.77, 2 Ta 2.64
Mn 0.5000 0.3309 0.2335  2 Si 2.41, 2 Ta 2.41-2.51, 2 Mn 2.50
Si 0.0000 0.3631 0.4918  5 Mn 2.41-2.54
Ta 0.5000 0.7947 0.7374  4 Mn 2.41-2.64

---

Record 17
Computed, not measured: TaMn2Si after structural relaxation at the PBE level of DFT.

Properties
Total moment: 0.44 Bohr magnetons per cell
E: -9.053 eV per atom
Space group: No. 99

Cell lengths 2.7738, 2.7738, 6.6975 Å; angles 90.00, 90.00, 90.00 degrees
Last column: nearest neighbours and their distance in Å.
Element x y z (fractional)
Mn 0.0000 0.0000 0.0465  4 Mn 2.39
Mn 0.5000 0.5000 0.2504  4 Mn 2.39, 4 Si 2.40
Si 0.0000 0.0000 0.4576  4 Mn 2.40
Ta 0.5000 0.5000 0.7456  4 Si 2.75, 4 Ta 2.77, 4 Mn 2.81

---

Record 18
Computed, not measured: TaMn2Si after structural relaxation at the PBE level of DFT.

Properties
Total moment: 3.19 Bohr magnetons per cell
E: -9.006 eV per atom
Space group: No. 99

Cell lengths 3.2181, 3.2181, 5.2817 Å; angles 90.00, 90.00, 90.00 degrees
Last column: nearest neighbours and their distance in Å.
Element x y z (fractional)
Mn 0.0000 0.0000 0.0007  1 Si 2.47, 4 Ta 2.60, 4 Mn 2.68
Mn 0.5000 0.5000 0.2697  4 Si 2.51, 2 Ta 2.59-2.69, 4 Mn 2.68
Si 0.0000 0.0000 0.4685  5 Mn 2.47-2.51, 4 Ta 2.75
Ta 0.5000 0.5000 0.7610  6 Mn 2.59-2.69, 4 Si 2.75

---

Record 19
Computed, not measured: Ta2MnSi after structural relaxation at the PBE level of DFT.

Properties
Total moment: 1.39 Bohr magnetons per cell
Energy above the lowest structure with this stoichiometry: 0.4274 eV/atom
Space group: No. 160

Cell lengths 8.4737, 8.4737, 8.4737 Å; angles 20.17, 20.17, 20.17 degrees
Last column: nearest neighbours and their distance in Å.
Element x y z (fractional)
Mn 0.4946 0.4946 0.4946  3 Si 2.43, 3 Ta 2.62
Si 0.7586 0.7586 0.7586  3 Mn 2.43
Ta 0.0057 0.0057 0.0057  3 Si 2.75, 9 Ta 2.97-2.98
Ta 0.2411 0.2411 0.2411  3 Mn 2.62

---

Record 20
Computed, not measured: TaMnSi after structural relaxation at the PBE level of DFT.

Properties
Total moment: 0.08 Bohr magnetons per cell
E: -8.862 eV per atom
Space group: No. 216

Cell lengths 4.0460, 4.0460, 4.0460 Å; angles 60.00, 60.00, 60.00 degrees
Last column: nearest neighbours and their distance in Å.
Element x y z (fractional)
Mn 0.7500 0.7500 0.7500  4 Ta 2.48, 4 Si 2.48
Si 0.0000 0.0000 0.0000  4 Mn 2.48
Ta 0.5000 0.5000 0.5000  4 Mn 2.48